*i*
First-principles (PBE) data for a geometry-optimized La2Ga2Pd structure, as listed in the Alexandria database.

Output
As for the total magnetization: 0.000 μB per cell. As for the crystal system: tetragonal. Its space-group type is P4/mbm. The calculation puts the density of states at the Fermi level at 3.0 states/eV per cell. The volume comes out at 23.82 Å³ per atom.

POSCAR file:
```
La2Ga2Pd
1.0
7.0734 0.0000 0.0000
0.0000 7.0734 0.0000
0.0000 0.0000 4.7611
La Ga Pd
4 4 2
direct
0.1629 0.3371 0.0000 La
0.3371 0.8371 0.0000 La
0.6629 0.1629 0.0000 La
0.8371 0.6629 0.0000 La
0.1397 0.6397 0.5000 Ga
0.3603 0.1397 0.5000 Ga
0.6397 0.8603 0.5000 Ga
0.8603 0.3603 0.5000 Ga
0.0000 0.0000 0.5000 Pd
0.5000 0.5000 0.5000 Pd
```

---

*ii*
First-principles (PBE) data for a geometry-optimized La2Ga2Pd structure, as listed in the Alexandria database.

Output
As for the total magnetization: 0.000 μB per cell. As for the crystal system: monoclinic. Its space-group type is C2/m. The calculation puts the density of states at the Fermi level at 3.9 states/eV per cell. The volume comes out at 23.83 Å³ per atom.

POSCAR file:
```
La2Ga2Pd
1.0
6.0349 -2.3270 0.0000
6.0349 2.3270 0.0000
-3.3741 0.0000 8.4856
La Ga Pd
4 4 2
direct
0.1141 0.1141 0.3994 La
0.1455 0.1455 0.0007 La
0.8545 0.8545 0.9993 La
0.8859 0.8859 0.6006 La
0.3989 0.3989 0.3302 Ga
0.4554 0.4554 0.8452 Ga
0.5446 0.5446 0.1548 Ga
0.6011 0.6011 0.6698 Ga
0.2213 0.2213 0.7278 Pd
0.7787 0.7787 0.2722 Pd
```

---

*iii*
First-principles (PBE) data for a geometry-optimized La2Ga2Pd structure, as listed in the Alexandria database.

Output
As for the total magnetization: 0.000 μB per cell. As for the crystal system: monoclinic. Its space-group type is C2/m. The calculation puts the density of states at the Fermi level at 10.1 states/eV per cell. The volume comes out at 24.58 Å³ per atom.

POSCAR file:
```
La2Ga2Pd
1.0
5.3638 -2.3140 0.0000
5.3638 2.3140 0.0000
-5.3187 0.0000 9.9015
La Ga Pd
4 4 2
direct
0.0199 0.0199 0.3334 La
0.1951 0.1951 0.1174 La
0.8049 0.8049 0.8826 La
0.9801 0.9801 0.6666 La
0.3583 0.3583 0.4412 Ga
0.4854 0.4854 0.1103 Ga
0.5146 0.5146 0.8897 Ga
0.6417 0.6417 0.5588 Ga
0.2679 0.2679 0.6565 Pd
0.7321 0.7321 0.3435 Pd
```

---

Stability ranking, top and bottom: *ii* is the most stable and *i* is the least stable.

---

*i*
First-principles (PBE) data for a geometry-optimized LaGa3Pd3 structure, as listed in the Alexandria database.

Output
As for the total magnetization: 0.000 μB per cell. As for the crystal system: cubic. Its space-group type is Pm-3n. The calculation puts the density of states at the Fermi level at 8.8 states/eV per cell. The volume comes out at 22.74 Å³ per atom.

POSCAR file:
```
LaGa3Pd3
1.0
6.8284 0.0000 0.0000
0.0000 6.8284 0.0000
0.0000 0.0000 6.8284
La Ga Pd
2 6 6
direct
0.0000 0.0000 0.0000 La
0.5000 0.5000 0.5000 La
0.0000 0.2500 0.5000 Ga
0.0000 0.7500 0.5000 Ga
0.2500 0.5000 0.0000 Ga
0.5000 0.0000 0.2500 Ga
0.5000 0.0000 0.7500 Ga
0.7500 0.5000 0.0000 Ga
0.0000 0.5000 0.2500 Pd
0.0000 0.5000 0.7500 Pd
0.2500 0.0000 0.5000 Pd
0.5000 0.2500 0.0000 Pd
0.5000 0.7500 0.0000 Pd
0.7500 0.0000 0.5000 Pd
```

---

*ii*
First-principles (PBE) data for a geometry-optimized LaGa3Pd3 structure, as listed in the Alexandria database.

Output
As for the total magnetization: 0.000 μB per cell. As for the crystal system: cubic. Its space-group type is P2_13. The calculation puts the density of states at the Fermi level at 9.4 states/eV per cell. The volume comes out at 18.31 Å³ per atom.

POSCAR file:
```
LaGa3Pd3
1.0
8.0028 0.0000 0.0000
0.0000 8.0028 0.0000
0.0000 0.0000 8.0028
La Ga Pd
4 12 12
direct
0.0582 0.4418 0.5582 La
0.4418 0.5582 0.0582 La
0.5582 0.0582 0.4418 La
0.9418 0.9418 0.9418 La
0.0255 0.3101 0.9262 Ga
0.0738 0.5255 0.1899 Ga
0.1899 0.0738 0.5255 Ga
0.3101 0.9262 0.0255 Ga
0.4262 0.4745 0.6899 Ga
0.4745 0.6899 0.4262 Ga
0.5255 0.1899 0.0738 Ga
0.5738 0.9745 0.8101 Ga
0.6899 0.4262 0.4745 Ga
0.8101 0.5738 0.9745 Ga
0.9262 0.0255 0.3101 Ga
0.9745 0.8101 0.5738 Ga
0.1208 0.6208 0.8792 Pd
0.1807 0.1807 0.1807 Pd
0.1899 0.8101 0.3101 Pd
0.3101 0.1899 0.8101 Pd
0.3193 0.8193 0.6807 Pd
0.3792 0.3792 0.3792 Pd
0.6208 0.8792 0.1208 Pd
0.6807 0.3193 0.8193 Pd
0.6899 0.6899 0.6899 Pd
0.8101 0.3101 0.1899 Pd
0.8193 0.6807 0.3193 Pd
0.8792 0.1208 0.6208 Pd
```

---

Stability ranking, top and bottom: *ii* is the most stable and *i* is the least stable.

---

*i*
First-principles (PBE) data for a geometry-optimized LaGaPd4 structure, as listed in the Alexandria database.

Output
As for the total magnetization: 0.000 μB per cell. As for the crystal system: cubic. Its space-group type is F-43m. The calculation puts the density of states at the Fermi level at 3.6 states/eV per cell. The volume comes out at 18.70 Å³ per atom.

POSCAR file:
```
LaGaPd4
1.0
0.0000 3.8281 3.8281
3.8281 0.0000 3.8281
3.8281 3.8281 0.0000
La Ga Pd
1 1 4
direct
0.0000 0.0000 0.0000 La
0.7500 0.7500 0.7500 Ga
0.3758 0.3758 0.3758 Pd
0.3758 0.3758 0.8727 Pd
0.3758 0.8727 0.3758 Pd
0.8727 0.3758 0.3758 Pd
```

---

*ii*
First-principles (PBE) data for a geometry-optimized LaGaPd4 structure, as listed in the Alexandria database.

Output
As for the total magnetization: 0.000 μB per cell. As for the crystal system: orthorhombic. Its space-group type is Pmma. The calculation puts the density of states at the Fermi level at 5.2 states/eV per cell. The volume comes out at 18.51 Å³ per atom.

POSCAR file:
```
LaGaPd4
1.0
7.7789 0.0000 0.0000
0.0000 4.0303 0.0000
0.0000 0.0000 7.0853
La Ga Pd
2 2 8
direct
0.2500 0.0000 0.1493 La
0.7500 0.0000 0.8507 La
0.2500 0.0000 0.7142 Ga
0.7500 0.0000 0.2858 Ga
0.0000 0.0000 0.5000 Pd
0.0518 0.5000 0.8035 Pd
0.2500 0.5000 0.4581 Pd
0.4482 0.5000 0.8035 Pd
0.5000 0.0000 0.5000 Pd
0.5518 0.5000 0.1965 Pd
0.7500 0.5000 0.5419 Pd
0.9482 0.5000 0.1965 Pd
```

---

Stability ranking, top and bottom: *ii* is the most stable and *i* is the least stable.

---

*i*
First-principles (PBE) data for a geometry-optimized La3Ga8Pd3 structure, as listed in the Alexandria database.

Output
As for the total magnetization: 0.000 μB per cell. As for the crystal system: monoclinic. Its space-group type is C2/m. The calculation puts the density of states at the Fermi level at 6.3 states/eV per cell. The volume comes out at 20.07 Å³ per atom.

POSCAR file:
```
La3Ga8Pd3
1.0
8.0872 -2.2853 0.0000
8.0872 2.2853 0.0000
-4.9676 0.0000 7.6000
La Ga Pd
3 8 3
direct
0.0000 0.0000 0.0000 La
0.2901 0.2901 0.3030 La
0.7099 0.7099 0.6970 La
0.1383 0.1383 0.4261 Ga
0.1495 0.1495 0.8635 Ga
0.3487 0.3487 0.7167 Ga
0.4945 0.4945 0.3210 Ga
0.5055 0.5055 0.6790 Ga
0.6513 0.6513 0.2833 Ga
0.8505 0.8505 0.1365 Ga
0.8617 0.8617 0.5739 Ga
0.0000 0.0000 0.5000 Pd
0.3469 0.3469 0.9964 Pd
0.6531 0.6531 0.0036 Pd
```

---

*ii*
First-principles (PBE) data for a geometry-optimized La3Ga8Pd3 structure, as listed in the Alexandria database.

Output
As for the total magnetization: 0.000 μB per cell. As for the crystal system: orthorhombic. Its space-group type is Immm. The calculation puts the density of states at the Fermi level at 5.2 states/eV per cell. The volume comes out at 19.92 Å³ per atom.

POSCAR file:
```
La3Ga8Pd3
1.0
-2.1972 4.9676 6.3873
2.1972 -4.9676 6.3873
2.1972 4.9676 -6.3873
La Ga Pd
3 8 3
direct
0.0000 0.0000 0.0000 La
0.3160 0.3160 0.0000 La
0.6840 0.6840 0.0000 La
0.0336 0.6672 0.3664 Ga
0.1509 0.8720 0.2789 Ga
0.3007 0.6672 0.6336 Ga
0.4069 0.1280 0.2789 Ga
0.5931 0.8720 0.7211 Ga
0.6993 0.3328 0.3664 Ga
0.8491 0.1280 0.7211 Ga
0.9664 0.3328 0.6336 Ga
0.2826 0.5000 0.7826 Pd
0.5000 0.0000 0.5000 Pd
0.7174 0.5000 0.2174 Pd
```

---

Stability ranking, top and bottom: *ii* is the most stable and *i* is the least stable.

---

*i*
First-principles (PBE) data for a geometry-optimized LaPrGaPd structure, as listed in the Alexandria database.

Output
As for the total magnetization: 0.000 μB per cell. As for the crystal system: cubic. Its space-group type is F-43m. The calculation puts the density of states at the Fermi level at 3.9 states/eV per cell. The volume comes out at 25.77 Å³ per atom.

POSCAR file:
```
LaPrGaPd
1.0
0.0000 3.7214 3.7214
3.7214 0.0000 3.7214
3.7214 3.7214 0.0000
La Pr Ga Pd
1 1 1 1
direct
0.0000 0.0000 0.0000 La
0.5000 0.5000 0.5000 Pr
0.2500 0.2500 0.2500 Ga
0.7500 0.7500 0.7500 Pd
```

---

*ii*
First-principles (PBE) data for a geometry-optimized LaPrGaPd structure, as listed in the Alexandria database.

Output
As for the total magnetization: 0.000 μB per cell. As for the crystal system: orthorhombic. Its space-group type is Amm2. The calculation puts the density of states at the Fermi level at 5.1 states/eV per cell. The volume comes out at 26.38 Å³ per atom.

POSCAR file:
```
LaPrGaPd
1.0
4.4624 0.0000 0.0000
0.0000 2.0541 5.7551
0.0000 -2.0541 5.7551
La Pr Ga Pd
1 1 1 1
direct
0.0000 0.0000 0.0000 La
0.5000 0.7191 0.7191 Pr
0.0000 0.2849 0.2849 Ga
0.5000 0.4327 0.4327 Pd
```

---

Stability ranking, top and bottom: *ii* is the most stable and *i* is the least stable.

---

*i*
First-principles (PBE) data for a geometry-optimized LaTbGaPd structure, as listed in the Alexandria database.

Output
As for the total magnetization: 0.000 μB per cell. As for the crystal system: cubic. Its space-group type is F-43m. The calculation puts the density of states at the Fermi level at 3.8 states/eV per cell. The volume comes out at 24.47 Å³ per atom.

POSCAR file:
```
LaTbGaPd
1.0
0.0000 3.6576 3.6576
3.6576 0.0000 3.6576
3.6576 3.6576 0.0000
La Tb Ga Pd
1 1 1 1
direct
0.0000 0.0000 0.0000 La
0.5000 0.5000 0.5000 Tb
0.7500 0.7500 0.7500 Ga
0.2500 0.2500 0.2500 Pd
```

---

*ii*
First-principles (PBE) data for a geometry-optimized LaTbGaPd structure, as listed in the Alexandria database.

Output
As for the total magnetization: 0.000 μB per cell. As for the crystal system: orthorhombic. Its space-group type is Amm2. The calculation puts the density of states at the Fermi level at 2.9 states/eV per cell. The volume comes out at 25.29 Å³ per atom.

POSCAR file:
```
LaTbGaPd
1.0
4.4958 0.0000 0.0000
0.0000 2.1447 5.2459
0.0000 -2.1447 5.2459
La Tb Ga Pd
1 1 1 1
direct
0.0000 0.0000 0.0000 La
0.5000 0.7164 0.7164 Tb
0.5000 0.4220 0.4220 Ga
0.0000 0.2781 0.2781 Pd
```

---

Stability ranking, top and bottom: *ii* is the most stable and *i* is the least stable.